This record from the Alexandria database describes an optimized crystal structure of Na3HfF. The functional is PBE-GGA.

Summary:
- DFT total energy: -3.302 eV per atom
- Uncorrected formation energy: -0.1461 eV/atom
- Polymorph energy (0 for the lowest one): 0 meV per atom
- SG: Pm-3m (221)

Unit cell a=4.8585 b=4.8585 c=4.8585 alpha=90.00 beta=90.00 gamma=90.00
Closest atoms and distances in Å follow each position.
Positions (direct):
Na 0.0000 0.0000 0.5000  2 F 2.43
Na 0.0000 0.5000 0.0000  2 F 2.43
Na 0.5000 0.0000 0.0000  2 F 2.43
Hf 0.5000 0.5000 0.5000  12 Na 3.44
F 0.0000 0.0000 0.0000  6 Na 2.43